# 1
GdLuAs2 PBE relaxed; crystal system = trigonal; ΔH_f (0 K) = -1503 meV/atom
1.0
2.051 1.184 6.690
-2.051 1.184 6.690
0.000 -2.369 6.690
Gd Lu As
1 1 2
Cartesian
0.000 0.000 0.000
0.000 0.000 10.035
0.000 0.000 4.964
0.000 0.000 15.105


# 2
FeSb2MoI PBE relaxed; excess energy over the best structure of this formula in the dataset = 5 meV/atom; crystal system = tetragonal; formation energy from raw total energies = 1.0754 eV/atom
1.0
5.157 0.000 0.000
0.000 5.157 0.000
0.000 0.000 5.857
Fe Sb Mo I
1 2 1 1
Cartesian
0.000 0.000 0.000
0.000 2.579 2.928
2.579 0.000 2.928
2.579 2.579 2.928
2.579 2.579 0.000


# 3
Ba3Sr12Pr PBE relaxed; crystal system = tetragonal; ΔH_f (0 K) = 36 meV/atom
1.0
6.601 0.000 0.000
0.000 6.601 0.000
0.000 0.000 19.653
Ba Sr Pr
3 12 1
Cartesian
0.000 0.000 0.000
0.000 0.000 5.129
0.000 0.000 14.524
0.000 3.300 2.528
0.000 3.300 7.621
0.000 3.300 12.032
0.000 3.300 17.125
3.300 0.000 2.528
3.300 0.000 7.621
3.300 0.000 12.032
3.300 0.000 17.125
3.300 3.300 0.000
3.300 3.300 5.067
3.300 3.300 9.826
3.300 3.300 14.586
0.000 0.000 9.826


# 4
BaCdPb PBE relaxed; crystal system = tetragonal; ΔH_f (0 K) = -290 meV/atom
1.0
-2.000 2.000 6.494
2.000 -2.000 6.494
2.000 2.000 -6.494
Ba Cd Pb
1 1 1
Cartesian
0.000 0.000 0.000
0.000 0.000 8.792
0.000 0.000 3.958


Calculated values (eV per cell) of uncorrected energy for the records, taken in order: -33.91; -23.71; -30.16; -7.42.